[1]
DFT (GGA-PBE) results for crystalline MgIn at its relaxed geometry.

It has space group I-43m (No. 217), with a = 8.799 Å, b = 8.799 Å, c = 8.799 Å, α = 90.00°, β = 90.00° and γ = 90.00°. The inequivalent atoms are Mg at (0.195, 0.195, 0.195) and In at (0.124, 0.124, 0.876).

As for the crystal system: cubic. The calculation puts the calculated formation energy at 0.348 eV/atom. Its calculated total energy is -0.134 Ry/atom.

***

[2]
DFT (GGA-PBE) results for crystalline Mg4In3 at its relaxed geometry.

It has space group P6/mmm (No. 191), with a = 5.8961 Å, b = 5.8961 Å, c = 5.8530 Å, α = 90.00°, β = 90.00° and γ = 120.00°. The inequivalent atoms are Mg at (0.0000, 0.0000, 0.2387), Mg at (0.3333, 0.6667, 0.0000) and In at (0.0000, 0.5000, 0.5000).

As for the density of states at the Fermi level: 0.28 states/eV per atom. As for the crystal system: hexagonal. The calculation puts the calculated formation energy at 0.046 eV/atom. Its calculated total energy is -0.150 Ry/atom. The calculation puts the energy above the lowest structure with this stoichiometry at 3.02 kcal/mol of atoms.

***

[3]
DFT (GGA-PBE) results for crystalline MgIn at its relaxed geometry.

It has space group Pmma (No. 51), with a = 5.075 Å, b = 3.480 Å, c = 5.355 Å, α = 90.00°, β = 90.00° and γ = 90.00°. The inequivalent atoms are Mg at (0.250, 0.000, 0.194) and In at (0.250, 0.500, 0.700).

As for the density of states at the Fermi level: 0.31 states/eV per atom. As for the crystal system: orthorhombic. The calculation puts the calculated formation energy at -0.072 eV/atom. Its calculated total energy is -0.165 Ry/atom.

***

[4]
DFT (GGA-PBE) results for crystalline MgIn at its relaxed geometry.

It has space group P6_3/mmc (No. 194), with a = 4.5245 Å, b = 4.5245 Å, c = 6.1631 Å, α = 90.00°, β = 90.00° and γ = 120.00°. The inequivalent atoms are Mg at (0.3333, 0.6667, 0.2500) and In at (0.0000, 0.0000, 0.0000).

As for the density of states at the Fermi level: 0.43 states/eV per atom. As for the crystal system: hexagonal. The calculation puts the calculated formation energy at 0.088 eV/atom. Its calculated total energy is -0.153 Ry/atom.

***

[5]
DFT (GGA-PBE) results for crystalline MgMn2In at its relaxed geometry.

It has space group P4/mmm (No. 123), with a = 3.353 Å, b = 3.353 Å, c = 6.175 Å, α = 90.00°, β = 90.00° and γ = 90.00°. The inequivalent atoms are Mg at (0.000, 0.000, 0.000), Mn at (0.500, 0.500, 0.245) and In at (0.000, 0.000, 0.500).

As for the density of states at the Fermi level: 0.56 states/eV per atom. As for the crystal system: tetragonal. The calculation puts the calculated formation energy at 0.232 eV/atom. Its calculated total energy is -0.400 Ry/atom.

***

[6]
DFT (GGA-PBE) results for crystalline MgMn2In at its relaxed geometry.

It has space group P4/mmm (No. 123), with a = 4.141 Å, b = 4.141 Å, c = 3.925 Å, α = 90.00°, β = 90.00° and γ = 90.00°. The inequivalent atoms are Mg at (0.000, 0.000, 0.000), Mn at (0.000, 0.500, 0.500) and In at (0.500, 0.500, 0.000).

As for the density of states at the Fermi level: 0.68 states/eV per atom. As for the crystal system: tetragonal. The calculation puts the calculated formation energy at 0.188 eV/atom. Its calculated total energy is -0.403 Ry/atom.